Record 1
# CsAcAlS3

A relaxed CsAcAlS3 crystal (PBE, Alexandria via LeMat-Bulk).

Results
For the formation energy (no corrections), the calculation gives -1.493 eV per atom. The value obtained for the magnetic moment is 0.0 μB per cell.

Structure (extended XYZ):
```
12
Lattice="4.786 0.000 0.000 -2.393 8.043 0.020 0.000 -2.325 9.173" Properties=species:S:1:pos:R:3 pbc="T T T"
Cs 0.000 3.617 8.633
Cs 2.393 2.101 0.560
Ac 2.393 1.038 5.225
Ac 0.000 4.680 3.967
Al 0.000 -0.802 3.254
Al 2.393 6.520 5.938
S 2.393 5.185 2.082
S 2.393 4.006 5.834
S 2.393 -0.592 2.714
S 0.000 1.712 3.358
S 0.000 6.311 6.479
S 0.000 0.534 7.110
```

***

Record 2
# CsAc2AlS5

A relaxed CsAc2AlS5 crystal (PBE, Alexandria via LeMat-Bulk).

Results
For the formation energy (no corrections), the calculation gives -1.770 eV per atom. The value obtained for the magnetic moment is 0.0 μB per cell.

Structure (extended XYZ):
```
18
Lattice="-7.856 2.937 0.805 -2.426 -4.686 -6.568 3.630 -4.337 7.158" Properties=species:S:1:pos:R:3 pbc="T T T"
Cs -0.755 -2.606 2.138
Cs -5.896 -3.480 -0.743
Ac -2.130 -1.055 -2.038
Ac -5.665 1.173 -0.571
Ac -4.616 -2.922 -5.192
Ac -8.151 -0.694 -3.725
Al -1.968 -4.949 -1.146
Al -4.683 -1.137 2.541
S -8.074 -0.592 -0.520
S -3.617 -2.078 4.298
S 1.423 -5.494 1.915
S 0.859 -2.487 5.381
S -3.054 -5.085 0.832
S -7.510 -3.599 -3.986
S -3.597 -1.001 0.562
S -3.034 -4.008 -2.904
S -5.141 -0.875 -2.882
S 0.000 0.000 0.000
```

***

Record 3
# Cs4Ac3AlSe8

A relaxed Cs4Ac3AlSe8 crystal (PBE, Alexandria via LeMat-Bulk).

Results
For the formation energy (no corrections), the calculation gives -1.510 eV per atom. The value obtained for the magnetic moment is 0.0 μB per cell.

Structure (extended XYZ):
```
16
Lattice="8.956 0.000 0.000 0.000 9.883 0.634 -4.478 -4.473 6.343" Properties=species:S:1:pos:R:3 pbc="T T T"
Cs 4.478 0.000 0.000
Cs 2.239 -2.236 3.172
Cs 0.000 0.000 0.000
Cs -2.239 -2.236 3.172
Ac 4.478 4.941 0.317
Ac 2.239 2.705 3.488
Ac -2.239 2.705 3.488
Al 0.000 4.941 0.317
Se -2.486 2.394 6.609
Se 0.000 4.875 3.104
Se 0.000 0.567 3.566
Se 2.486 2.394 6.609
Se 1.993 3.015 0.368
Se 4.478 4.842 3.411
Se 4.478 0.534 3.873
Se 6.964 3.015 0.368
```

***

Record 4
# Cs2AcAlSe4

A relaxed Cs2AcAlSe4 crystal (PBE, Alexandria via LeMat-Bulk).

Results
For the formation energy (no corrections), the calculation gives -1.187 eV per atom. The value obtained for the magnetic moment is 0.0 μB per cell.

Structure (extended XYZ):
```
16
Lattice="8.624 -0.293 0.923 -0.299 8.624 0.923 -3.352 -3.355 7.621" Properties=species:S:1:pos:R:3 pbc="T T T"
Cs 4.312 -0.146 0.462
Cs 2.636 -1.824 4.272
Cs -1.676 -1.677 3.810
Cs 4.163 4.166 0.923
Ac -0.149 4.312 0.462
Ac 6.799 2.342 5.195
Al 2.487 2.488 4.734
Al 5.272 -3.647 8.544
Se -1.925 3.563 7.282
Se 4.194 0.764 5.996
Se 0.779 4.213 3.471
Se 6.899 1.414 2.185
Se 6.764 6.556 2.137
Se 4.260 4.051 4.443
Se 0.713 0.925 5.024
Se -1.791 -1.580 7.331
```

***

Record 5
# CsAcAlSe4

A relaxed CsAcAlSe4 crystal (PBE, Alexandria via LeMat-Bulk).

Results
For the formation energy (no corrections), the calculation gives -1.380 eV per atom. The value obtained for the magnetic moment is 0.0 μB per cell.

Structure (extended XYZ):
```
14
Lattice="7.620 0.000 0.164 0.000 6.204 0.000 -2.770 0.000 10.065" Properties=species:S:1:pos:R:3 pbc="T T T"
Cs 3.020 4.653 9.769
Cs 1.830 1.551 0.460
Ac 4.460 4.653 4.607
Ac 0.390 1.551 5.621
Al 1.002 4.653 3.344
Al 3.848 1.551 6.884
Se 5.624 3.175 7.309
Se -0.774 0.073 2.919
Se -0.774 3.028 2.919
Se 5.624 6.130 7.309
Se 2.874 4.653 1.939
Se 1.977 1.551 8.290
Se 1.457 4.653 5.697
Se 3.393 1.551 4.532
```

***

Record 6
# Cs4Ac3AlTe8

A relaxed Cs4Ac3AlTe8 crystal (PBE, Alexandria via LeMat-Bulk).

Results
For the formation energy (no corrections), the calculation gives -1.223 eV per atom. The value obtained for the magnetic moment is 0.0 μB per cell.

Structure (extended XYZ):
```
16
Lattice="9.538 0.000 0.000 0.000 10.520 0.686 -4.769 -4.766 6.748" Properties=species:S:1:pos:R:3 pbc="T T T"
Cs 4.769 0.000 0.000
Cs 2.384 -2.383 3.374
Cs 0.000 0.000 0.000
Cs -2.384 -2.383 3.374
Ac 4.769 5.260 0.343
Ac 2.384 2.877 3.717
Ac -2.384 2.877 3.717
Al 0.000 5.260 0.343
Te -2.633 2.582 7.056
Te 0.000 5.213 3.335
Te 0.000 0.565 3.770
Te 2.633 2.582 7.056
Te 2.136 3.172 0.378
Te 4.769 5.189 3.664
Te 4.769 0.541 4.099
Te 7.402 3.172 0.378
```

***

Record 7
# Ac3Al4Cu

A relaxed Ac3Al4Cu crystal (PBE, Alexandria via LeMat-Bulk).

Results
For the total energy, the calculation gives -4.21 eV/atom. The value obtained for the magnetic moment is 0.0 μB per cell.

Structure (extended XYZ):
```
16
Lattice="6.191 0.000 0.000 0.000 5.916 0.000 0.000 0.000 11.905" Properties=species:S:1:pos:R:3 pbc="T T T"
Ac 3.390 0.000 0.000
Ac 2.801 2.958 5.953
Ac 5.019 2.958 8.984
Ac 5.019 2.958 2.921
Ac 1.172 0.000 8.874
Ac 1.172 0.000 3.031
Al 2.027 2.958 10.469
Al 2.027 2.958 1.436
Al 0.194 1.456 0.000
Al 0.194 4.460 0.000
Al 5.997 4.413 5.953
Al 5.997 1.502 5.953
Al 4.164 0.000 4.517
Al 4.164 0.000 7.388
Cu 4.227 2.958 0.000
Cu 1.964 0.000 5.953
```

***

Record 8
# Ac4AlCu3

A relaxed Ac4AlCu3 crystal (PBE, Alexandria via LeMat-Bulk).

Results
For the total energy, the calculation gives -4.22 eV/atom. The value obtained for the magnetic moment is 0.0 μB per cell.

Structure (extended XYZ):
```
8
Lattice="-3.659 -2.843 -1.021 1.665 -0.648 -4.165 5.566 -8.434 3.538" Properties=species:S:1:pos:R:3 pbc="T T T"
Ac 1.020 -4.802 -1.311
Ac 5.527 -7.437 0.902
Ac 0.819 -1.241 0.521
Ac 1.786 -6.901 1.789
Al -0.717 -2.170 -2.415
Cu 3.930 -5.018 -0.113
Cu 2.498 -3.786 1.588
Cu 3.412 -9.365 2.822
```

***

Record 9
# AcAl4Cu3

A relaxed AcAl4Cu3 crystal (PBE, Alexandria via LeMat-Bulk).

Results
For the total energy, the calculation gives -4.23 eV/atom. The value obtained for the magnetic moment is 0.0 μB per cell.

Structure (extended XYZ):
```
8
Lattice="4.151 0.000 0.000 0.000 4.151 0.000 0.000 0.000 8.529" Properties=species:S:1:pos:R:3 pbc="T T T"
Ac 0.000 0.000 4.264
Al 2.075 0.000 1.428
Al 0.000 2.075 1.428
Al 2.075 0.000 7.101
Al 0.000 2.075 7.101
Cu 0.000 0.000 0.000
Cu 2.075 2.075 2.939
Cu 2.075 2.075 5.590
```

***

Record 10
# AcAl12Cu6

A relaxed AcAl12Cu6 crystal (PBE, Alexandria via LeMat-Bulk).

Results
For the total energy, the calculation gives -4.02 eV/atom. The value obtained for the magnetic moment is 0.0 μB per cell.

Structure (extended XYZ):
```
19
Lattice="-6.758 2.185 0.672 1.585 -2.988 6.281 3.848 6.004 -0.186" Properties=species:S:1:pos:R:3 pbc="T T T"
Ac 0.000 0.000 0.000
Al -3.850 4.577 1.240
Al -2.500 3.558 4.071
Al 0.226 4.539 3.851
Al -0.969 2.973 1.254
Al -1.551 0.661 2.916
Al 1.175 1.643 2.696
Al 3.390 4.060 3.055
Al -1.528 -0.836 5.855
Al 2.525 0.624 5.527
Al -4.715 1.141 3.711
Al 0.202 6.036 0.912
Al -0.356 2.228 5.513
Cu -3.369 2.337 2.070
Cu 1.375 4.046 1.687
Cu 0.362 0.024 4.579
Cu -2.700 1.155 5.080
Cu 2.044 2.863 4.696
Cu -1.687 5.177 2.188
```

***

Record 11
# Ac5AlCu2

A relaxed Ac5AlCu2 crystal (PBE, Alexandria via LeMat-Bulk).

Results
For the total energy, the calculation gives -4.16 eV/atom. The value obtained for the magnetic moment is 0.0 μB per cell.

Structure (extended XYZ):
```
16
Lattice="7.757 0.000 -3.662 -1.728 7.562 -3.662 -0.348 -0.436 9.310" Properties=species:S:1:pos:R:3 pbc="T T T"
Ac 2.538 4.960 2.188
Ac 4.425 7.327 -3.862
Ac 0.000 0.000 0.000
Ac 3.014 3.781 -3.662
Ac 1.256 -0.201 5.850
Ac 4.819 1.180 3.351
Ac -1.024 3.580 4.687
Ac 0.862 5.946 -1.363
Ac 6.705 3.546 -2.700
Ac 3.142 2.165 -0.201
Al 4.347 5.453 -0.837
Al 1.333 1.672 2.824
Cu 0.306 2.848 -1.831
Cu 4.622 0.933 -2.734
Cu 1.406 6.629 -4.589
Cu 5.722 4.714 -5.492
```

***

Record 12
# AcAl2Cu

A relaxed AcAl2Cu crystal (PBE, Alexandria via LeMat-Bulk).

Results
The energy above the lowest structure with this stoichiometry comes out at 0.000 eV/atom. The value obtained for the magnetic moment is 0.0 μB per cell.

Structure (extended XYZ):
```
8
Lattice="-0.827 4.382 -0.308 0.060 -0.298 -4.398 -9.066 -1.556 2.191" Properties=species:S:1:pos:R:3 pbc="T T T"
Ac -7.218 -0.382 -2.282
Ac -2.615 2.910 -0.233
Al -4.712 0.245 -0.081
Al -5.121 2.283 -2.434
Al -8.953 1.714 -0.238
Al -0.880 0.814 -2.277
Cu -6.447 2.187 -0.236
Cu -3.385 0.341 -2.279
```

***

Record 13
# Ac3Al2Cu

A relaxed Ac3Al2Cu crystal (PBE, Alexandria via LeMat-Bulk).

Results
For the total energy, the calculation gives -4.18 eV/atom. The value obtained for the magnetic moment is 0.0 μB per cell.

Structure (extended XYZ):
```
24
Lattice="4.601 0.000 0.000 0.000 12.784 0.000 0.000 0.000 12.767" Properties=species:S:1:pos:R:3 pbc="T T T"
Ac 1.150 4.781 0.693
Ac 3.450 8.003 12.073
Ac 3.450 11.173 5.690
Ac 1.150 1.611 7.077
Ac 1.150 8.955 2.750
Ac 3.450 3.829 10.017
Ac 3.450 2.563 3.633
Ac 1.150 10.221 9.133
Ac 1.150 5.681 4.853
Ac 3.450 7.103 7.914
Ac 3.450 12.073 1.531
Ac 1.150 0.711 11.236
Al 1.150 8.742 6.027
Al 3.450 4.042 6.739
Al 3.450 2.350 0.356
Al 1.150 10.434 12.411
Al 1.150 0.098 3.871
Al 3.450 12.686 8.895
Al 3.450 6.490 2.512
Al 1.150 6.294 10.255
Cu 1.150 1.650 1.604
Cu 3.450 11.134 11.163
Cu 3.450 8.042 4.779
Cu 1.150 4.742 7.987
```

***

Record 14
# Ac2Al5Cu4

A relaxed Ac2Al5Cu4 crystal (PBE, Alexandria via LeMat-Bulk).

Results
The energy above the lowest structure with this stoichiometry comes out at 0.000 eV/atom. The value obtained for the magnetic moment is 0.0 μB per cell.

Structure (extended XYZ):
```
11
Lattice="0.114 -5.481 -1.663 4.455 -1.963 -3.094 3.658 -4.596 5.530" Properties=species:S:1:pos:R:3 pbc="T T T"
Ac 1.088 -5.983 0.059
Ac 2.683 -4.094 3.809
Al 0.057 -2.741 -0.832
Al 2.228 -0.981 -1.547
Al 2.284 -3.722 -2.379
Al 4.085 -4.650 0.802
Al 4.142 -7.390 -0.029
Cu 5.925 -9.029 0.559
Cu 2.301 -3.011 0.214
Cu 4.197 -5.427 -1.563
Cu 4.030 -6.613 2.336
```

***

Record 15
# Ac2Al12Cu7

A relaxed Ac2Al12Cu7 crystal (PBE, Alexandria via LeMat-Bulk).

Results
For the total energy, the calculation gives -4.18 eV/atom. The value obtained for the magnetic moment is 0.0 μB per cell.

Structure (extended XYZ):
```
21
Lattice="-0.959 1.943 -3.443 -4.120 -8.503 -3.650 -5.682 6.526 5.265" Properties=species:S:1:pos:R:3 pbc="T T T"
Ac -0.480 0.971 -1.721
Ac -4.641 -3.493 -0.678
Al -7.735 -2.745 -1.798
Al -3.898 -4.449 -3.828
Al -3.728 -0.371 -1.574
Al -5.957 4.116 1.578
Al -7.092 1.237 0.270
Al -3.873 2.111 -0.133
Al -3.238 3.034 2.614
Al -7.367 2.102 3.238
Al -4.878 -0.586 1.028
Al -7.269 -1.883 0.962
Al -5.185 -6.560 -2.257
Al -1.468 -2.036 -0.740
Cu -5.161 1.517 2.293
Cu -4.646 4.617 3.899
Cu -8.356 0.016 2.336
Cu -2.482 -0.083 0.644
Cu -6.304 -0.756 -1.073
Cu -6.371 -4.543 -3.192
Cu -2.685 -2.266 -2.934
```

***

Record 16
# Ac4AlCu

A relaxed Ac4AlCu crystal (PBE, Alexandria via LeMat-Bulk).

Results
For the total energy, the calculation gives -3.99 eV/atom. The value obtained for the magnetic moment is 0.0 μB per cell.

Structure (extended XYZ):
```
6
Lattice="5.391 0.000 -0.001 0.000 5.391 -0.002 0.004 0.007 7.708" Properties=species:S:1:pos:R:3 pbc="T T T"
Ac 2.703 5.377 1.966
Ac 2.706 5.384 5.706
Ac 0.011 2.687 5.708
Ac 0.007 2.682 1.968
Al 2.706 2.688 7.691
Cu 0.009 5.379 3.842
```

***

Record 17
# Ac2AlCu2

A relaxed Ac2AlCu2 crystal (PBE, Alexandria via LeMat-Bulk).

Results
The energy above the lowest structure with this stoichiometry comes out at 0.006 eV/atom. The value obtained for the magnetic moment is 0.0 μB per cell.

Structure (extended XYZ):
```
10
Lattice="0.493 4.195 0.851 0.570 0.851 6.385 9.824 1.282 -1.107" Properties=species:S:1:pos:R:3 pbc="T T T"
Ac 3.698 3.502 2.409
Ac 9.346 5.246 1.445
Ac 7.190 2.825 3.719
Ac 1.542 1.082 4.683
Al 6.361 3.608 0.342
Al 4.527 2.720 5.786
Cu 5.681 1.299 1.211
Cu 9.475 4.479 5.152
Cu 5.207 5.029 4.917
Cu 1.413 1.849 0.976
```

***

Record 18
# Ac3Al8Cu3

A relaxed Ac3Al8Cu3 crystal (PBE, Alexandria via LeMat-Bulk).

Results
The energy above the lowest structure with this stoichiometry comes out at 0.000 eV/atom. The value obtained for the magnetic moment is 0.0 μB per cell.

Structure (extended XYZ):
```
14
Lattice="-4.072 1.801 -0.921 -3.785 -5.516 -5.279 -5.536 -4.297 4.848" Properties=species:S:1:pos:R:3 pbc="T T T"
Ac -6.696 -4.006 -0.676
Ac -5.039 -0.338 -0.830
Ac -8.354 -7.674 -0.521
Al -6.582 -2.303 2.149
Al -6.811 -5.708 -3.501
Al -5.585 -2.997 -3.615
Al -7.807 -5.015 2.264
Al -9.355 -5.208 -2.496
Al -4.038 -2.804 1.145
Al -9.853 -4.861 0.387
Al -3.539 -3.151 -1.738
Cu -2.036 0.901 -0.460
Cu -4.188 -5.235 -2.949
Cu -5.133 -4.577 2.518
```

***

Record 19
# Ac2AlCu5

A relaxed Ac2AlCu5 crystal (PBE, Alexandria via LeMat-Bulk).

Results
For the total energy, the calculation gives -4.12 eV/atom. The value obtained for the magnetic moment is 0.0 μB per cell.

Structure (extended XYZ):
```
8
Lattice="6.380 -0.174 -0.249 -3.293 5.467 0.249 -3.293 -1.626 5.226" Properties=species:S:1:pos:R:3 pbc="T T T"
Ac 0.036 -0.021 3.742
Ac 0.036 3.526 1.253
Al -0.180 0.105 0.149
Cu -1.892 2.587 3.687
Cu -3.183 3.340 1.605
Cu -3.183 0.373 3.687
Cu 1.905 0.952 1.357
Cu -1.998 1.165 1.661
```